--- P ---
VASP calculation (SCAN) on FeIrPt2 at its PBEsol-relaxed geometry.

abc: 6.1109 6.1109 6.1109
angles: 90.00 90.00 90.00
With the nearest neighbours (Å) after each atom.
Atoms (fractional coordinates):
Fe 0.0000 0.0000 0.0000  4 Pt 2.65, 4 Ir 2.65
Fe 0.0000 0.5000 0.5000  4 Pt 2.65, 4 Ir 2.65
Fe 0.5000 0.0000 0.5000  4 Pt 2.65, 4 Ir 2.65
Fe 0.5000 0.5000 0.0000  4 Pt 2.65, 4 Ir 2.65
Ir 0.2500 0.2500 0.7500  4 Fe 2.65, 4 Pt 2.65
Ir 0.2500 0.7500 0.2500  4 Fe 2.65, 4 Pt 2.65
Ir 0.7500 0.2500 0.2500  4 Fe 2.65, 4 Pt 2.65
Ir 0.7500 0.7500 0.7500  4 Fe 2.65, 4 Pt 2.65
Pt 0.0000 0.0000 0.5000  4 Ir 2.65, 4 Pt 2.65
Pt 0.0000 0.5000 0.0000  4 Ir 2.65, 4 Pt 2.65
Pt 0.2500 0.2500 0.2500  4 Fe 2.65, 4 Pt 2.65
Pt 0.2500 0.7500 0.7500  4 Fe 2.65, 4 Pt 2.65
Pt 0.5000 0.0000 0.0000  4 Ir 2.65, 4 Pt 2.65
Pt 0.5000 0.5000 0.5000  4 Ir 2.65, 4 Pt 2.65
Pt 0.7500 0.2500 0.7500  4 Fe 2.65, 4 Pt 2.65
Pt 0.7500 0.7500 0.2500  4 Fe 2.65, 4 Pt 2.65


--- Q ---
VASP calculation (SCAN) on FeIrPt2 at its PBEsol-relaxed geometry.

abc: 3.8460 3.8460 7.5491
angles: 90.00 90.00 90.00
With the nearest neighbours (Å) after each atom.
Atoms (fractional coordinates):
Fe 0.0000 0.0000 0.0000  4 Ir 2.69, 8 Pt 2.69-2.72
Fe 0.5000 0.5000 0.5000  4 Ir 2.69, 8 Pt 2.69-2.72
Ir 0.0000 0.5000 0.7500  8 Pt 2.69-2.72, 4 Fe 2.69
Ir 0.5000 0.0000 0.2500  4 Fe 2.69, 8 Pt 2.69-2.72
Pt 0.0000 0.0000 0.5000  4 Ir 2.69, 4 Pt 2.69, 4 Fe 2.72
Pt 0.0000 0.5000 0.2500  4 Fe 2.69, 4 Pt 2.69, 4 Ir 2.72
Pt 0.5000 0.0000 0.7500  4 Pt 2.69, 4 Fe 2.69, 4 Ir 2.72
Pt 0.5000 0.5000 0.0000  4 Ir 2.69, 4 Pt 2.69, 4 Fe 2.72


--- R ---
VASP calculation (SCAN) on FeIrPt2 at its PBEsol-relaxed geometry.

abc: 2.7071 2.7071 26.3263
angles: 90.00 90.00 120.00
With the nearest neighbours (Å) after each atom.
Atoms (fractional coordinates):
Fe 0.0000 0.0000 0.0000  3 Ir 2.54, 3 Pt 2.60, 6 Fe 2.71
Fe 0.3333 0.6667 0.6667  3 Ir 2.54, 3 Pt 2.60, 6 Fe 2.71
Fe 0.6667 0.3333 0.3333  3 Ir 2.54, 3 Pt 2.60, 6 Fe 2.71
Ir 0.0000 0.0000 0.7429  3 Fe 2.54, 6 Ir 2.71, 3 Pt 2.79
Ir 0.3333 0.6667 0.4096  3 Fe 2.54, 6 Ir 2.71, 3 Pt 2.79
Ir 0.6667 0.3333 0.0763  3 Fe 2.54, 6 Ir 2.71, 3 Pt 2.79
Pt 0.0000 0.0000 0.2543  3 Fe 2.60, 9 Pt 2.71-2.85
Pt 0.0000 0.0000 0.4973  9 Pt 2.71-2.85, 3 Ir 2.79
Pt 0.3333 0.6667 0.1639  9 Pt 2.71-2.85, 3 Ir 2.79
Pt 0.3333 0.6667 0.9210  3 Fe 2.60, 9 Pt 2.71-2.85
Pt 0.6667 0.3333 0.5877  3 Fe 2.60, 9 Pt 2.71-2.85
Pt 0.6667 0.3333 0.8306  9 Pt 2.71-2.85, 3 Ir 2.79


Q ends up most stable, edging out the next structure by 68 meV per atom.


--- P ---
VASP calculation (SCAN) on FeIrRh at its PBEsol-relaxed geometry.

abc: 2.6619 2.6619 10.8552
angles: 90.00 90.00 90.00
With the nearest neighbours (Å) after each atom.
Atoms (fractional coordinates):
Fe 0.0000 0.0000 0.0000  4 Ir 2.56, 4 Rh 2.58, 4 Fe 2.66
Fe 0.5000 0.5000 0.5000  4 Ir 2.56, 4 Rh 2.58, 4 Fe 2.66
Ir 0.0000 0.0000 0.6592  4 Fe 2.56, 4 Ir 2.66, 4 Rh 2.70
Ir 0.5000 0.5000 0.1592  4 Fe 2.56, 4 Ir 2.66, 4 Rh 2.70
Rh 0.0000 0.0000 0.3379  4 Fe 2.58, 4 Rh 2.66, 4 Ir 2.70
Rh 0.5000 0.5000 0.8379  4 Fe 2.58, 4 Rh 2.66, 4 Ir 2.70


--- Q ---
VASP calculation (SCAN) on FeIrRh at its PBEsol-relaxed geometry.

abc: 5.7373 5.7373 5.7373
angles: 90.00 90.00 90.00
With the nearest neighbours (Å) after each atom.
Atoms (fractional coordinates):
Fe 0.0000 0.0000 0.0000  4 Rh 2.48
Fe 0.0000 0.5000 0.5000  4 Rh 2.48
Fe 0.5000 0.0000 0.5000  4 Rh 2.48
Fe 0.5000 0.5000 0.0000  4 Rh 2.48
Ir 0.0000 0.0000 0.5000  4 Rh 2.48
Ir 0.0000 0.5000 0.0000  4 Rh 2.48
Ir 0.5000 0.0000 0.0000  4 Rh 2.48
Ir 0.5000 0.5000 0.5000  4 Rh 2.48
Rh 0.2500 0.2500 0.2500  4 Ir 2.48, 4 Fe 2.48
Rh 0.2500 0.7500 0.7500  4 Ir 2.48, 4 Fe 2.48
Rh 0.7500 0.2500 0.7500  4 Ir 2.48, 4 Fe 2.48
Rh 0.7500 0.7500 0.2500  4 Fe 2.48, 4 Ir 2.48


P ends up most stable, edging out the next structure by 603 meV per atom.


--- P ---
VASP calculation (SCAN) on FeIrRu at its PBEsol-relaxed geometry.

abc: 5.5653 5.5653 5.5653
angles: 90.00 90.00 90.00
With the nearest neighbours (Å) after each atom.
Atoms (fractional coordinates):
Fe 0.0000 0.0000 0.0000  4 Ru 2.41, 4 Ir 2.41
Fe 0.0000 0.5000 0.5000  4 Ru 2.41, 4 Ir 2.41
Fe 0.5000 0.0000 0.5000  4 Ru 2.41, 4 Ir 2.41
Fe 0.5000 0.5000 0.0000  4 Ru 2.41, 4 Ir 2.41
Ir 0.2500 0.2500 0.7500  4 Fe 2.41
Ir 0.2500 0.7500 0.2500  4 Fe 2.41
Ir 0.7500 0.2500 0.2500  4 Fe 2.41
Ir 0.7500 0.7500 0.7500  4 Fe 2.41
Ru 0.2500 0.2500 0.2500  4 Fe 2.41
Ru 0.2500 0.7500 0.7500  4 Fe 2.41
Ru 0.7500 0.2500 0.7500  4 Fe 2.41
Ru 0.7500 0.7500 0.2500  4 Fe 2.41


--- Q ---
VASP calculation (SCAN) on FeIrRu at its PBEsol-relaxed geometry.

abc: 2.6492 3.6707 7.8637
angles: 90.00 90.00 90.00
With the nearest neighbours (Å) after each atom.
Atoms (fractional coordinates):
Fe 0.0000 0.0000 0.0000  5 Ru 2.60-2.65, 5 Ir 2.61-2.63, 2 Fe 2.65
Fe 0.5000 0.5000 0.5000  5 Ru 2.60-2.65, 5 Ir 2.61-2.63, 2 Fe 2.65
Ir 0.0000 0.0000 0.6659  5 Ru 2.59-2.63, 5 Fe 2.61-2.63, 2 Ir 2.65
Ir 0.5000 0.5000 0.1659  5 Ru 2.59-2.63, 5 Fe 2.61-2.63, 2 Ir 2.65
Ru 0.0000 0.0000 0.3369  5 Ir 2.59-2.63, 5 Fe 2.60-2.65, 2 Ru 2.65
Ru 0.5000 0.5000 0.8369  5 Ir 2.59-2.63, 5 Fe 2.60-2.65, 2 Ru 2.65


Q ends up most stable, edging out the next structure by 433 meV per atom.


--- P ---
VASP calculation (SCAN) on FeIrSe2 at its PBEsol-relaxed geometry.

abc: 3.7915 3.7918 5.3060
angles: 90.00 90.10 90.00
With the nearest neighbours (Å) after each atom.
Atoms (fractional coordinates):
Fe 0.0000 0.0000 0.0000  4 Se 2.37
Ir 0.4999 0.5000 0.0000  4 Se 2.37
Se 0.5007 0.0000 0.2692  2 Fe 2.37, 2 Ir 2.37
Se 0.9992 0.5000 0.7307  2 Ir 2.37, 2 Fe 2.37


--- Q ---
VASP calculation (SCAN) on FeIrSe2 at its PBEsol-relaxed geometry.

abc: 2.9049 2.9049 7.5306
angles: 90.00 90.00 90.00
With the nearest neighbours (Å) after each atom.
Atoms (fractional coordinates):
Fe 0.0000 0.0000 0.0000  4 Se 2.43
Ir 0.5000 0.5000 0.2398  4 Se 2.58, 4 Fe 2.74
Se 0.0000 0.0000 0.4480  4 Ir 2.58
Se 0.5000 0.5000 0.8285  4 Fe 2.43


P ends up most stable, edging out the next structure by 259 meV per atom.


--- P ---
VASP calculation (SCAN) on FeIrSe2 at its PBEsol-relaxed geometry.

abc: 3.0356 3.0356 22.2137
angles: 90.00 90.00 120.00
With the nearest neighbours (Å) after each atom.
Atoms (fractional coordinates):
Fe 0.0000 0.0000 0.0000  6 Se 2.43
Fe 0.3333 0.6667 0.6667  6 Se 2.43
Fe 0.6667 0.3333 0.3333  6 Se 2.43
Ir 0.0000 0.0000 0.5000  6 Se 2.67
Ir 0.3333 0.6667 0.1667  6 Se 2.67
Ir 0.6667 0.3333 0.8333  6 Se 2.67
Se 0.0000 0.0000 0.2573  3 Fe 2.43, 3 Ir 2.67
Se 0.0000 0.0000 0.7427  3 Fe 2.43, 3 Ir 2.67
Se 0.3333 0.6667 0.4094  3 Fe 2.43, 3 Ir 2.67
Se 0.3333 0.6667 0.9239  3 Fe 2.43, 3 Ir 2.67
Se 0.6667 0.3333 0.0761  3 Fe 2.43, 3 Ir 2.67
Se 0.6667 0.3333 0.5906  3 Fe 2.43, 3 Ir 2.67


--- Q ---
VASP calculation (SCAN) on FeIrSe2 at its PBEsol-relaxed geometry.

abc: 3.0493 3.0493 6.2394
angles: 90.00 90.00 90.00
With the nearest neighbours (Å) after each atom.
Atoms (fractional coordinates):
Fe 0.0000 0.0000 0.0000  8 Se 2.61
Ir 0.0000 0.0000 0.5000  8 Se 2.72
Se 0.5000 0.5000 0.2346  4 Fe 2.61, 4 Ir 2.72
Se 0.5000 0.5000 0.7654  4 Fe 2.61, 4 Ir 2.72


P ends up most stable, edging out the next structure by 93 meV per atom.


--- P ---
VASP calculation (SCAN) on KFe at its PBEsol-relaxed geometry.

abc: 2.9955 5.9045 11.9360
angles: 90.00 90.00 90.00
With the nearest neighbours (Å) after each atom.
Atoms (fractional coordinates):
K 0.0000 0.2500 0.1014  2 K 3.00
K 0.0000 0.7500 0.8986  2 K 3.00
K 0.5000 0.2500 0.3986  2 K 3.00
K 0.5000 0.7500 0.6014  2 K 3.00
Fe 0.0000 0.2500 0.6826  2 Fe 2.20
Fe 0.0000 0.7500 0.3174  2 Fe 2.20
Fe 0.5000 0.2500 0.8174  2 Fe 2.20
Fe 0.5000 0.7500 0.1826  2 Fe 2.20


--- Q ---
VASP calculation (SCAN) on KFe at its PBEsol-relaxed geometry.

abc: 2.9788 4.8631 5.6779
angles: 90.00 90.00 90.00
With the nearest neighbours (Å) after each atom.
Atoms (fractional coordinates):
K 0.0000 0.0000 0.0000  6 K 2.85-2.98
K 0.5000 0.5000 0.0000  6 K 2.85-2.98
Fe 0.0000 0.5000 0.5000  6 Fe 2.85-2.98
Fe 0.5000 0.0000 0.5000  6 Fe 2.85-2.98


P ends up most stable, edging out the next structure by 429 meV per atom.


--- P ---
VASP calculation (SCAN) on KLi2Fe at its PBEsol-relaxed geometry.

abc: 6.2900 9.8163 2.8004
angles: 90.00 103.54 90.00
With the nearest neighbours (Å) after each atom.
Atoms (fractional coordinates):
K 0.0000 0.0000 0.0000  2 K 2.80, 4 Li 3.07
K 0.5000 0.5000 0.0000  2 K 2.80, 4 Li 3.07
Li 0.2500 0.2500 0.5000  2 Li 2.80, 2 K 3.07, 2 Fe 3.07
Li 0.2500 0.7500 0.5000  2 Li 2.80, 2 Fe 3.07, 2 K 3.07
Li 0.7500 0.2500 0.5000  2 Li 2.80, 2 Fe 3.07, 2 K 3.07
Li 0.7500 0.7500 0.5000  2 Li 2.80, 2 Fe 3.07, 2 K 3.07
Fe 0.0000 0.5000 0.0000  2 Fe 2.80, 4 Li 3.07
Fe 0.5000 0.0000 0.0000  2 Fe 2.80, 4 Li 3.07


--- Q ---
VASP calculation (SCAN) on KLi2Fe at its PBEsol-relaxed geometry.

abc: 3.2973 3.2973 8.4899
angles: 90.00 90.00 90.00
With the nearest neighbours (Å) after each atom.
Atoms (fractional coordinates):
K 0.0000 0.0000 0.0000  4 K 3.30, 4 Fe 3.45, 1 Li 3.67
Li 0.0000 0.0000 0.5681  4 Fe 2.59, 4 Li 2.83
Li 0.5000 0.5000 0.3786  1 Fe 2.74, 4 Li 2.83
Fe 0.5000 0.5000 0.7008  5 Li 2.59-2.74


Q ends up most stable, edging out the next structure by 142 meV per atom.


--- P ---
VASP calculation (SCAN) on KMgFe at its PBEsol-relaxed geometry.

abc: 2.9225 4.2725 12.3157
angles: 90.00 90.00 90.00
With the nearest neighbours (Å) after each atom.
Atoms (fractional coordinates):
K 0.0000 0.0000 0.0000  2 K 2.92
K 0.5000 0.5000 0.5000  2 K 2.92
Mg 0.0000 0.0000 0.7233  4 Fe 2.70, 2 Mg 2.92
Mg 0.5000 0.5000 0.2233  4 Fe 2.70, 2 Mg 2.92
Fe 0.0000 0.0000 0.2864  4 Mg 2.70, 2 Fe 2.92
Fe 0.5000 0.5000 0.7864  4 Mg 2.70, 2 Fe 2.92


--- Q ---
VASP calculation (SCAN) on KMgFe at its PBEsol-relaxed geometry.

abc: 5.2941 5.2941 2.8241
angles: 90.00 90.00 120.00
With the nearest neighbours (Å) after each atom.
Atoms (fractional coordinates):
K 0.0000 0.0000 0.0000  2 K 2.82, 3 Fe 3.15
Mg 0.3333 0.6667 0.3593  2 Mg 2.82
Fe 0.6667 0.3333 0.7335  2 Fe 2.82, 3 K 3.15


P ends up most stable, edging out the next structure by 231 meV per atom.